No. 1
# PaNiH8Pt2

A relaxed PaNiH8Pt2 crystal (GGA-PBE, Alexandria).

abc: 4.9437 4.9437 5.7582
angles: 90.00 90.00 120.00
Closest atoms and distances in Å follow each position.
Fractional positions:
1 Pt 0.6667 0.3333 0.3748  1 H 1.61
2 Pt 0.3333 0.6667 0.6252  1 H 1.61
3 H 0.1566 0.8434 0.8373  1 Ni 1.64
4 H 0.6667 0.3333 0.6536  1 Pt 1.61
5 H 0.8434 0.1566 0.1627  1 Ni 1.64
6 H 0.3133 0.1566 0.1627  1 Ni 1.64
7 H 0.6867 0.8434 0.8373  1 Ni 1.64
8 H 0.8434 0.6867 0.1627  1 Ni 1.64
9 H 0.3333 0.6667 0.3464  1 Pt 1.61
10 H 0.1566 0.3133 0.8373  1 Ni 1.64
11 Ni 0.0000 0.0000 0.0000  6 H 1.64
12 Pa 0.0000 0.0000 0.5000  6 H 2.36

## Properties
Symmetry ... P-3m1

No. 2
# PaNi4H8Pt

A relaxed PaNi4H8Pt crystal (GGA-PBE, Alexandria).

abc: 5.0997 5.0997 5.9610
angles: 64.67 64.67 60.00
Closest atoms and distances in Å follow each position.
Fractional positions:
1 Ni 0.9695 0.4586 0.6023  4 H 1.60-1.67
2 Ni 0.9695 0.9695 0.6023  4 H 1.60-1.67
3 Ni 0.6597 0.6597 0.0210  4 H 1.62-1.64
4 Ni 0.4586 0.9695 0.6023  4 H 1.60-1.67
5 H 0.7639 0.7639 0.7083  4 Ni 1.60-1.62
6 H 0.3039 0.7385 0.2191  1 Ni 1.64, 1 Pt 1.80
7 H 0.7268 0.3367 0.5997  2 Ni 1.65
8 H 0.1872 0.1872 0.4385  3 Ni 1.67
9 H 0.3367 0.3367 0.5997  2 Ni 1.65
10 H 0.7385 0.3039 0.2191  1 Ni 1.64, 1 Pt 1.80
11 H 0.3367 0.7268 0.5997  2 Ni 1.65
12 H 0.7385 0.7385 0.2191  1 Ni 1.64, 1 Pt 1.80
13 Pa 0.3397 0.3397 0.9810  4 H 2.29-2.37
14 Pt 0.9708 0.9708 0.0876  3 H 1.80

## Properties
Symmetry ... R3m

No. 3
# Pu2PaNi3H12

A relaxed Pu2PaNi3H12 crystal (GGA-PBE, Alexandria).

abc: 6.0498 6.0498 6.0498
angles: 60.76 60.76 60.76
Closest atoms and distances in Å follow each position.
Fractional positions:
1 H 0.8568 0.4455 0.8568  1 Ni 1.70
2 H 0.1432 0.1432 0.5545  1 Ni 1.70
3 H 0.5545 0.1432 0.1432  1 Ni 1.70
4 H 0.8568 0.8568 0.4455  1 Ni 1.70
5 H 0.2657 0.8740 0.2657  2 Ni 1.68
6 H 0.1432 0.5545 0.1432  1 Ni 1.70
7 H 0.7343 0.1260 0.7343  2 Ni 1.68
8 H 0.4455 0.8568 0.8568  1 Ni 1.70
9 H 0.2657 0.2657 0.8740  2 Ni 1.68
10 H 0.7343 0.7343 0.1260  2 Ni 1.68
11 H 0.1260 0.7343 0.7343  2 Ni 1.68
12 H 0.8740 0.2657 0.2657  2 Ni 1.68
13 Ni 0.0000 0.5000 0.0000  6 H 1.68-1.70
14 Ni 0.5000 0.0000 0.0000  6 H 1.68-1.70
15 Ni 0.0000 0.0000 0.5000  6 H 1.68-1.70
16 Pu 0.6029 0.6029 0.6029  6 H 2.25-2.39
17 Pu 0.3971 0.3971 0.3971  6 H 2.25-2.39
18 Pa 0.0000 0.0000 0.0000  12 H 2.22-2.42

## Properties
Symmetry ... R-3m

No. 4
# PaNiH6Rh

A relaxed PaNiH6Rh crystal (GGA-PBE, Alexandria).

abc: 4.5002 4.5003 4.1587
angles: 90.00 90.00 60.00
Closest atoms and distances in Å follow each position.
Fractional positions:
1 H 0.4926 0.0149 0.2279  1 Ni 1.68, 1 Rh 1.77
2 H 0.0148 0.4927 0.7721  1 Ni 1.68, 1 Rh 1.77
3 H 0.0148 0.4924 0.2279  1 Ni 1.68, 1 Rh 1.77
4 H 0.4924 0.0149 0.7721  1 Ni 1.68, 1 Rh 1.77
5 H 0.4927 0.4924 0.7721  1 Ni 1.68, 1 Rh 1.77
6 H 0.4925 0.4927 0.2279  1 Ni 1.68, 1 Rh 1.77
7 Ni 0.3333 0.3334 0.5000  6 H 1.68
8 Pa 0.0000 0.0000 0.0000  12 H 2.44
9 Rh 0.6666 0.6667 0.5000  6 H 1.77

## Properties
Symmetry ... P-6m2

No. 5
# PaNiHRh2

A relaxed PaNiHRh2 crystal (GGA-PBE, Alexandria).

abc: 3.9305 4.1100 4.1100
angles: 90.00 90.00 90.00
Closest atoms and distances in Å follow each position.
Fractional positions:
1 Rh 0.0000 0.0000 0.5000  2 H 2.06
2 Rh 0.0000 0.5000 0.0000  2 H 2.06
3 H 0.0000 0.0000 0.0000  2 Ni 1.97, 4 Rh 2.06
4 Ni 0.5000 0.0000 0.0000  2 H 1.97
5 Pa 0.5000 0.5000 0.5000  8 Rh 2.84, 4 Ni 2.91

## Properties
Symmetry ... P4/mmm

No. 6
# PaNiH6Ru

A relaxed PaNiH6Ru crystal (GGA-PBE, Alexandria).

abc: 4.5026 4.5028 4.1348
angles: 90.00 90.00 60.00
Closest atoms and distances in Å follow each position.
Fractional positions:
1 H 0.4956 0.4955 0.7740  1 Ni 1.70, 1 Ru 1.75, 1 H 1.87
2 H 0.4955 0.0089 0.7740  1 Ni 1.70, 1 Ru 1.75, 1 H 1.87
3 H 0.0089 0.4956 0.7740  1 Ni 1.70, 1 Ru 1.75, 1 H 1.87
4 H 0.0089 0.4955 0.2259  1 Ni 1.70, 1 Ru 1.75, 1 H 1.87
5 H 0.4955 0.4956 0.2259  1 Ni 1.70, 1 Ru 1.75, 1 H 1.87
6 H 0.4956 0.0089 0.2259  1 Ni 1.70, 1 Ru 1.75, 1 H 1.87
7 Ni 0.3333 0.3334 0.5000  6 H 1.70
8 Pa 0.0000 0.0000 0.0000  12 H 2.44
9 Ru 0.6666 0.6667 0.5000  6 H 1.75

## Properties
Symmetry ... P-6m2

No. 7
# PaNiSbH

A relaxed PaNiSbH crystal (GGA-PBE, Alexandria).

abc: 4.2592 4.2592 4.1876
angles: 90.00 90.00 120.00
Closest atoms and distances in Å follow each position.
Fractional positions:
1 Ni 0.2385 0.4770 0.9084  1 H 1.60
2 Pa 0.5719 0.1439 0.2782  3 H 2.46
3 H 0.2386 0.4772 0.2898  1 Ni 1.60
4 Sb 0.9053 0.8105 0.7627  3 Ni 2.53

## Properties
Symmetry ... P3m1

No. 8
# PaSiNiH

A relaxed PaSiNiH crystal (GGA-PBE, Alexandria).

abc: 4.0416 4.0419 3.8488
angles: 90.00 90.00 120.00
Closest atoms and distances in Å follow each position.
Fractional positions:
1 Pa 0.5719 0.1438 0.3101  3 H 2.34
2 Si 0.9052 0.8105 0.7946  3 Ni 2.34
3 Ni 0.2386 0.4772 0.8465  1 H 1.70
4 H 0.2386 0.4772 0.2879  1 Ni 1.70

## Properties
Symmetry ... P3m1

Quick rundown of energy, same order as above: -4.62 -4.79 -5.51 -5.02 -7.29 -5.19 -6.24 -6.72 eV per atom